Compound: LaInIr3
Source: the Alexandria database
Functional: PBE
Structure: relaxed

Structure (POSCAR):
```
LaInIr3
1.0
5.0093 0.0000 0.0000
0.0000 5.0093 0.0000
0.0000 0.0000 5.0093
La In Ir
1 1 3
direct
0.0000 0.0000 0.0000
0.5000 0.5000 0.5000
0.0000 0.0000 0.5000
0.0000 0.5000 0.0000
0.5000 0.0000 0.0000
```

Distance to the lowest polymorph of the same formula: 872 meV/atom
E_form: 813 kJ/mol of formula units
E_tot: -25.825 eV/cell